Entry 1:
# InNiPb2, optimized geometry, DFT PBE
# energy of formation from the pure elements: 0.08 eV per atom
# magnetic moment: 0.000 μB/f.u.
data_InNiPb2
_chemical_formula_sum 'In1 Ni1 Pb2'
_cell_length_a 3.327
_cell_length_b 3.327
_cell_length_c 8.660
_cell_angle_alpha 90.00
_cell_angle_beta 90.00
_cell_angle_gamma 90.00
_symmetry_space_group_name_H-M 'P 1'
_symmetry_Int_Tables_number 1
loop_
_symmetry_equiv_pos_as_xyz
'x,y,z'
loop_
_atom_site_label
_atom_site_fract_x
_atom_site_fract_y
_atom_site_fract_z
In1 0.000 0.000 0.000
Ni1 0.500 0.500 0.158
Pb1 0.000 0.000 0.369
Pb2 0.500 0.500 0.714

Entry 2:
# In2NiPb, optimized geometry, DFT PBE
# energy of formation from the pure elements: 0.10 eV per atom
# magnetic moment: 0.000 μB/f.u.
data_In2NiPb
_chemical_formula_sum 'In2 Ni1 Pb1'
_cell_length_a 8.847
_cell_length_b 8.847
_cell_length_c 8.847
_cell_angle_alpha 23.27
_cell_angle_beta 23.27
_cell_angle_gamma 23.27
_symmetry_space_group_name_H-M 'P 1'
_symmetry_Int_Tables_number 1
loop_
_symmetry_equiv_pos_as_xyz
'x,y,z'
loop_
_atom_site_label
_atom_site_fract_x
_atom_site_fract_y
_atom_site_fract_z
In1 0.230 0.230 0.230
In2 0.770 0.770 0.770
Ni1 0.500 0.500 0.500
Pb1 0.000 0.000 0.000

Entry 3:
# In4NiPb, optimized geometry, DFT PBE
# energy of formation from the pure elements: 0.45 eV per atom
# magnetic moment: 0.219 μB/f.u.
data_In4NiPb
_chemical_formula_sum 'In4 Ni1 Pb1'
_cell_length_a 6.063
_cell_length_b 6.063
_cell_length_c 6.063
_cell_angle_alpha 60.00
_cell_angle_beta 60.00
_cell_angle_gamma 60.00
_symmetry_space_group_name_H-M 'P 1'
_symmetry_Int_Tables_number 1
loop_
_symmetry_equiv_pos_as_xyz
'x,y,z'
loop_
_atom_site_label
_atom_site_fract_x
_atom_site_fract_y
_atom_site_fract_z
In1 0.124 0.124 0.124
In2 0.124 0.124 0.627
In3 0.124 0.627 0.124
In4 0.627 0.124 0.124
Ni1 0.750 0.750 0.750
Pb1 0.500 0.500 0.500

Entry 4:
# InNiPb2, optimized geometry, DFT PBE
# energy of formation from the pure elements: 0.34 eV per atom
# magnetic moment: 0.000 μB/f.u.
data_InNiPb2
_chemical_formula_sum 'In1 Ni1 Pb2'
_cell_length_a 4.770
_cell_length_b 4.770
_cell_length_c 4.279
_cell_angle_alpha 90.00
_cell_angle_beta 90.00
_cell_angle_gamma 90.00
_symmetry_space_group_name_H-M 'P 1'
_symmetry_Int_Tables_number 1
loop_
_symmetry_equiv_pos_as_xyz
'x,y,z'
loop_
_atom_site_label
_atom_site_fract_x
_atom_site_fract_y
_atom_site_fract_z
In1 0.000 0.000 0.000
Ni1 0.500 0.500 0.000
Pb1 0.000 0.500 0.500
Pb2 0.500 0.000 0.500

Entry 5:
# InNiPb, optimized geometry, DFT PBE
# energy of formation from the pure elements: 0.21 eV per atom
# magnetic moment: 0.000 μB/f.u.
# polymorph energy (0 for the lowest one): 0.198 eV per atom
data_InNiPb
_chemical_formula_sum 'In1 Ni1 Pb1'
_cell_length_a 4.187
_cell_length_b 4.187
_cell_length_c 4.589
_cell_angle_alpha 90.00
_cell_angle_beta 90.00
_cell_angle_gamma 120.00
_symmetry_space_group_name_H-M 'P 1'
_symmetry_Int_Tables_number 1
loop_
_symmetry_equiv_pos_as_xyz
'x,y,z'
loop_
_atom_site_label
_atom_site_fract_x
_atom_site_fract_y
_atom_site_fract_z
In1 0.000 0.000 0.000
Ni1 0.667 0.333 0.233
Pb1 0.333 0.667 0.518

Entry 6:
# InNiPb, optimized geometry, DFT PBE
# energy of formation from the pure elements: 0.11 eV per atom
# magnetic moment: 0.000 μB/f.u.
# polymorph energy (0 for the lowest one): 0.103 eV per atom
data_InNiPb
_chemical_formula_sum 'In1 Ni1 Pb1'
_cell_length_a 6.494
_cell_length_b 6.494
_cell_length_c 6.494
_cell_angle_alpha 150.79
_cell_angle_beta 150.79
_cell_angle_gamma 41.78
_symmetry_space_group_name_H-M 'P 1'
_symmetry_Int_Tables_number 1
loop_
_symmetry_equiv_pos_as_xyz
'x,y,z'
loop_
_atom_site_label
_atom_site_fract_x
_atom_site_fract_y
_atom_site_fract_z
In1 0.000 0.000 0.000
Ni1 0.383 0.383 0.000
Pb1 0.731 0.731 0.000

Entry 7:
# InNi2Pb, optimized geometry, DFT PBE
# energy of formation from the pure elements: 0.17 eV per atom
# magnetic moment: 0.000 μB/f.u.
# polymorph energy (0 for the lowest one): 0.112 eV per atom
data_InNi2Pb
_chemical_formula_sum 'In1 Ni2 Pb1'
_cell_length_a 4.591
_cell_length_b 4.591
_cell_length_c 3.249
_cell_angle_alpha 90.00
_cell_angle_beta 90.00
_cell_angle_gamma 90.20
_symmetry_space_group_name_H-M 'P 1'
_symmetry_Int_Tables_number 1
loop_
_symmetry_equiv_pos_as_xyz
'x,y,z'
loop_
_atom_site_label
_atom_site_fract_x
_atom_site_fract_y
_atom_site_fract_z
In1 0.000 0.000 0.000
Ni1 0.000 0.500 0.500
Ni2 0.500 0.000 0.500
Pb1 0.500 0.500 0.000

Entry 8:
# InNi2Pb, optimized geometry, DFT PBE
# energy of formation from the pure elements: 0.14 eV per atom
# magnetic moment: 0.000 μB/f.u.
# polymorph energy (0 for the lowest one): 0.089 eV per atom
data_InNi2Pb
_chemical_formula_sum 'In1 Ni2 Pb1'
_cell_length_a 4.644
_cell_length_b 4.644
_cell_length_c 5.515
_cell_angle_alpha 123.89
_cell_angle_beta 123.89
_cell_angle_gamma 52.48
_symmetry_space_group_name_H-M 'P 1'
_symmetry_Int_Tables_number 1
loop_
_symmetry_equiv_pos_as_xyz
'x,y,z'
loop_
_atom_site_label
_atom_site_fract_x
_atom_site_fract_y
_atom_site_fract_z
In1 0.000 0.000 0.000
Ni1 0.259 0.259 0.863
Ni2 0.741 0.741 0.137
Pb1 0.500 0.500 0.500

Entry 9:
# InNi2Pb, optimized geometry, DFT PBE
# energy of formation from the pure elements: 0.23 eV per atom
# magnetic moment: 0.000 μB/f.u.
# polymorph energy (0 for the lowest one): 0.178 eV per atom
data_InNi2Pb
_chemical_formula_sum 'In1 Ni2 Pb1'
_cell_length_a 5.363
_cell_length_b 5.363
_cell_length_c 5.363
_cell_angle_alpha 137.41
_cell_angle_beta 137.41
_cell_angle_gamma 61.80
_symmetry_space_group_name_H-M 'P 1'
_symmetry_Int_Tables_number 1
loop_
_symmetry_equiv_pos_as_xyz
'x,y,z'
loop_
_atom_site_label
_atom_site_fract_x
_atom_site_fract_y
_atom_site_fract_z
In1 0.000 0.000 0.000
Ni1 0.250 0.750 0.500
Ni2 0.500 0.500 0.000
Pb1 0.750 0.250 0.500

Entry 10:
# In2NiPb, optimized geometry, DFT PBE
# energy of formation from the pure elements: 0.12 eV per atom
# magnetic moment: 0.000 μB/f.u.
data_In2NiPb
_chemical_formula_sum 'In2 Ni1 Pb1'
_cell_length_a 7.045
_cell_length_b 7.045
_cell_length_c 7.045
_cell_angle_alpha 153.80
_cell_angle_beta 142.27
_cell_angle_gamma 46.52
_symmetry_space_group_name_H-M 'P 1'
_symmetry_Int_Tables_number 1
loop_
_symmetry_equiv_pos_as_xyz
'x,y,z'
loop_
_atom_site_label
_atom_site_fract_x
_atom_site_fract_y
_atom_site_fract_z
In1 0.184 0.184 0.000
In2 0.816 0.816 0.000
Ni1 0.000 0.500 0.500
Pb1 0.500 0.000 0.500

Entry 11:
# InNiPb2, optimized geometry, DFT PBE
# energy of formation from the pure elements: 0.34 eV per atom
# magnetic moment: 0.000 μB/f.u.
data_InNiPb2
_chemical_formula_sum 'In1 Ni1 Pb2'
_cell_length_a 5.568
_cell_length_b 5.568
_cell_length_c 5.568
_cell_angle_alpha 130.49
_cell_angle_beta 130.49
_cell_angle_gamma 72.62
_symmetry_space_group_name_H-M 'P 1'
_symmetry_Int_Tables_number 1
loop_
_symmetry_equiv_pos_as_xyz
'x,y,z'
loop_
_atom_site_label
_atom_site_fract_x
_atom_site_fract_y
_atom_site_fract_z
In1 0.000 0.000 0.000
Ni1 0.250 0.750 0.500
Pb1 0.500 0.500 0.000
Pb2 0.750 0.250 0.500

Entry 12:
# In2NiPb, optimized geometry, DFT PBE
# energy of formation from the pure elements: 0.09 eV per atom
# magnetic moment: 0.000 μB/f.u.
data_In2NiPb
_chemical_formula_sum 'In2 Ni1 Pb1'
_cell_length_a 6.113
_cell_length_b 6.113
_cell_length_c 3.511
_cell_angle_alpha 90.00
_cell_angle_beta 90.00
_cell_angle_gamma 130.48
_symmetry_space_group_name_H-M 'P 1'
_symmetry_Int_Tables_number 1
loop_
_symmetry_equiv_pos_as_xyz
'x,y,z'
loop_
_atom_site_label
_atom_site_fract_x
_atom_site_fract_y
_atom_site_fract_z
In1 0.176 0.824 0.000
In2 0.824 0.176 0.000
Ni1 0.000 0.000 0.500
Pb1 0.500 0.500 0.500

| no. | Fermi-level density of states (states/eV per cell) | electronic total energy (Ha/atom) |
| --- | --- | --- |
| 1 | 2.43 | -0.144 |
| 2 | 2.79 | -0.134 |
| 3 | 4.83 | -0.109 |
| 4 | 3.20 | -0.134 |
| 5 | 1.45 | -0.142 |
| 6 | 2.33 | -0.146 |
| 7 | 2.25 | -0.159 |
| 8 | 1.92 | -0.160 |
| 9 | 2.56 | -0.157 |
| 10 | 1.74 | -0.133 |
| 11 | 2.61 | -0.134 |
| 12 | 2.35 | -0.134 |